Model 1:
# PmTlI4 PBE-GGA optimized geometry
# space-group type = P-1
data_PmTlI4
_symmetry_space_group_name_H-M 'P 1'
_symmetry_Int_Tables_number 1
_cell_length_a 4.631
_cell_length_b 7.969
_cell_length_c 8.760
_cell_angle_alpha 100.52
_cell_angle_beta 90.00
_cell_angle_gamma 107.06
loop_
_symmetry_equiv_pos_as_xyz
'x,y,z'
loop_
_atom_site_label
_atom_site_type_symbol
_atom_site_fract_x
_atom_site_fract_y
_atom_site_fract_z
Pm1 Pm 0.000 0.000 0.000
I1 I 0.381 0.764 0.104
I2 I 0.878 0.759 0.677
I3 I 0.619 0.236 0.896
I4 I 0.122 0.241 0.323
Tl1 Tl 0.500 0.000 0.500



Model 2:
# PmTlI4 PBE-GGA optimized geometry
# space-group type = C2/c
data_PmTlI4
_symmetry_space_group_name_H-M 'P 1'
_symmetry_Int_Tables_number 1
_cell_length_a 7.654
_cell_length_b 9.098
_cell_length_c 9.182
_cell_angle_alpha 113.59
_cell_angle_beta 107.68
_cell_angle_gamma 103.20
loop_
_symmetry_equiv_pos_as_xyz
'x,y,z'
loop_
_atom_site_label
_atom_site_type_symbol
_atom_site_fract_x
_atom_site_fract_y
_atom_site_fract_z
I1 I 0.805 0.728 0.673
I2 I 0.368 0.945 0.673
I3 I 0.632 0.055 0.327
I4 I 0.360 0.655 0.871
I5 I 0.195 0.272 0.327
I6 I 0.640 0.345 0.129
I7 I 0.011 0.216 0.871
I8 I 0.989 0.784 0.129
Tl1 Tl 0.620 0.370 0.740
Tl2 Tl 0.380 0.630 0.260
Pm1 Pm 0.750 0.000 0.000
Pm2 Pm 0.250 0.000 0.000



Most stable = model 1